Crystalline MgSc2W2 at its relaxed geometry, computed with PBEsol.

The total energy comes out at -7.510 eV per atom. The total moment is 0.0 μB/f.u. As for the energy of formation: 0.999 eV per atom. The calculation puts the mass density at 7.86 Mg/m³. Its crystal system is tetragonal.

The space group is I4/mmm (No. 139) and the conventional cell measures 3.9760, 3.9760 and 12.8864 Å, with angles of 90.00, 90.00 and 90.00 degrees. The distinct sites, in fractional coordinates, are Mg at (0.0000, 0.0000, 0.0000), Sc at (0.0000, 0.5000, 0.2500) and W at (0.0000, 0.0000, 0.4090).